Computed, not measured: a relaxed structure of Al2CuSi2O8F at the PBEsol level of DFT.

Mass density: 3.6 g/cm³
E: -7.303 eV per atom
E_form (uncorrected): -2451 meV/atom

Structure (POSCAR):
```
Al2CuSi2O8F
1.0
4.833 0.000 0.000
0.000 8.894 0.000
-4.764 0.000 13.940
Al Cu Si O F
8 4 8 32 4
direct
0.053 0.134 0.453
0.053 0.366 0.953
0.350 0.633 0.453
0.350 0.867 0.953
0.650 0.133 0.047
0.650 0.367 0.547
0.947 0.634 0.047
0.947 0.866 0.547
0.111 0.648 0.250
0.111 0.852 0.750
0.889 0.148 0.250
0.889 0.352 0.750
0.241 0.558 0.645
0.241 0.942 0.145
0.443 0.559 0.853
0.443 0.941 0.353
0.557 0.059 0.647
0.557 0.441 0.147
0.759 0.058 0.855
0.759 0.442 0.355
0.054 0.533 0.353
0.054 0.967 0.853
0.071 0.738 0.478
0.071 0.762 0.978
0.152 0.037 0.354
0.152 0.463 0.854
0.178 0.743 0.648
0.178 0.757 0.148
0.262 0.015 0.559
0.262 0.485 0.059
0.369 0.507 0.560
0.369 0.993 0.060
0.371 0.741 0.852
0.371 0.759 0.352
0.492 0.522 0.750
0.492 0.978 0.250
0.508 0.022 0.750
0.508 0.478 0.250
0.629 0.241 0.648
0.629 0.259 0.148
0.631 0.007 0.940
0.631 0.493 0.440
0.738 0.515 0.941
0.738 0.985 0.441
0.822 0.243 0.852
0.822 0.257 0.352
0.848 0.537 0.146
0.848 0.963 0.646
0.929 0.238 0.022
0.929 0.262 0.522
0.946 0.033 0.147
0.946 0.467 0.647
0.372 0.249 0.964
0.372 0.251 0.464
0.628 0.749 0.536
0.628 0.751 0.036
```

***

Computed, not measured: a relaxed structure of Ca2SbPt at the PBEsol level of DFT.

Mass density: 7.0 g/cm³
E: -4.707 eV per atom
E_form (uncorrected): -760 meV/atom

Structure (POSCAR):
```
Ca2SbPt
1.0
5.222 0.000 0.000
0.000 5.222 0.000
0.000 0.000 3.448
Ca Sb Pt
2 1 1
direct
0.000 0.500 0.000
0.500 0.000 0.000
0.000 0.000 0.500
0.500 0.500 0.500
```

***

Computed, not measured: a relaxed structure of Ir3WBr at the PBEsol level of DFT.

Mass density: 13.1 g/cm³
E: -7.014 eV per atom
E_form (uncorrected): 2016 meV/atom

Structure (POSCAR):
```
Ir3WBr
1.0
4.742 0.000 0.000
0.000 4.742 0.000
0.000 0.000 4.742
Ir W Br
3 1 1
direct
0.000 0.000 0.500
0.000 0.500 0.000
0.500 0.000 0.000
0.000 0.000 0.000
0.500 0.500 0.500
```

***

What did we get for DOS at the Fermi energy? Answer: 1.47; 1.48; 7.10 states/eV/f.u., in the order shown.